Density functional theory data (GGA-PBE) for an optimized crystal structure of YZnPb2.

E_form ... -0.232 eV per atom
Density ... 9090 kg/m³
Spin magnetization ... 0.00 Bohr magnetons per cell
Space-group type ... I4/mmm

abc: 4.5833 4.5833 9.8916
angles: 90.00 90.00 90.00
With the nearest neighbours (Å) after each atom.
Fractional positions:
Y 0.0000 0.0000 0.0000  4 Zn 3.24, 8 Pb 3.37
Y 0.5000 0.5000 0.5000  4 Zn 3.24, 8 Pb 3.37
Zn 0.0000 0.0000 0.5000  4 Y 3.24, 8 Pb 3.37
Zn 0.5000 0.5000 0.0000  4 Y 3.24, 8 Pb 3.37
Pb 0.0000 0.5000 0.2500  4 Pb 3.24, 4 Zn 3.37, 4 Y 3.37
Pb 0.0000 0.5000 0.7500  4 Pb 3.24, 4 Zn 3.37, 4 Y 3.37
Pb 0.5000 0.0000 0.2500  4 Pb 3.24, 4 Zn 3.37, 4 Y 3.37
Pb 0.5000 0.0000 0.7500  4 Pb 3.24, 4 Zn 3.37, 4 Y 3.37

---

Density functional theory data (GGA-PBE) for an optimized crystal structure of Y5Zn4Pb.

E_form ... -0.386 eV per atom
Density ... 6321 kg/m³
Spin magnetization ... 0.00 Bohr magnetons per cell
Space-group type ... P4/mmm

abc: 3.6087 3.6087 18.4258
angles: 90.00 90.00 90.00
With the nearest neighbours (Å) after each atom.
Fractional positions:
Y 0.0000 0.0000 0.0000  8 Zn 3.12
Y 0.0000 0.0000 0.1917  8 Zn 3.07-3.08
Y 0.0000 0.0000 0.3822  4 Zn 3.12, 4 Pb 3.35
Y 0.0000 0.0000 0.6178  4 Zn 3.12, 4 Pb 3.35
Y 0.0000 0.0000 0.8083  8 Zn 3.07-3.08
Zn 0.5000 0.5000 0.0978  8 Y 3.08-3.12, 1 Zn 3.44
Zn 0.5000 0.5000 0.2843  8 Y 3.07-3.12, 1 Zn 3.44
Zn 0.5000 0.5000 0.7157  8 Y 3.07-3.12, 1 Zn 3.44
Zn 0.5000 0.5000 0.9022  8 Y 3.08-3.12, 1 Zn 3.44
Pb 0.5000 0.5000 0.5000  8 Y 3.35, 4 Pb 3.61

---

Density functional theory data (GGA-PBE) for an optimized crystal structure of YZnPb2.

E_form ... -0.079 eV per atom
Density ... 8621 kg/m³
Spin magnetization ... 0.00 Bohr magnetons per cell
Space-group type ... F-43m

abc: 7.5952 7.5952 7.5952
angles: 90.00 90.00 90.00
With the nearest neighbours (Å) after each atom.
Fractional positions:
Y 0.0000 0.0000 0.0000  4 Pb 3.29, 4 Zn 3.29
Y 0.0000 0.5000 0.5000  4 Pb 3.29, 4 Zn 3.29
Y 0.5000 0.0000 0.5000  4 Pb 3.29, 4 Zn 3.29
Y 0.5000 0.5000 0.0000  4 Pb 3.29, 4 Zn 3.29
Zn 0.2500 0.2500 0.2500  4 Pb 3.29, 4 Y 3.29
Zn 0.2500 0.7500 0.7500  4 Pb 3.29, 4 Y 3.29
Zn 0.7500 0.2500 0.7500  4 Pb 3.29, 4 Y 3.29
Zn 0.7500 0.7500 0.2500  4 Pb 3.29, 4 Y 3.29
Pb 0.0000 0.0000 0.5000  4 Pb 3.29, 4 Zn 3.29
Pb 0.0000 0.5000 0.0000  4 Pb 3.29, 4 Zn 3.29
Pb 0.2500 0.2500 0.7500  4 Pb 3.29, 4 Y 3.29
Pb 0.2500 0.7500 0.2500  4 Pb 3.29, 4 Y 3.29
Pb 0.5000 0.0000 0.0000  4 Pb 3.29, 4 Zn 3.29
Pb 0.5000 0.5000 0.5000  4 Pb 3.29, 4 Zn 3.29
Pb 0.7500 0.2500 0.2500  4 Pb 3.29, 4 Y 3.29
Pb 0.7500 0.7500 0.7500  4 Pb 3.29, 4 Y 3.29

---

Density functional theory data (GGA-PBE) for an optimized crystal structure of Y2ZnPb.

E_form ... -0.431 eV per atom
Density ... 6965 kg/m³
Spin magnetization ... 0.02 Bohr magnetons per cell
Space-group type ... Amm2

abc: 4.3191 4.3826 11.3458
angles: 90.00 90.00 90.00
With the nearest neighbours (Å) after each atom.
Fractional positions:
Y 0.0000 0.0000 0.0000  1 Zn 3.04, 4 Pb 3.16
Y 0.0000 0.5000 0.5000  1 Zn 3.04, 4 Pb 3.16
Y 0.5000 0.0000 0.2824  4 Zn 3.13, 3 Pb 3.21-3.30
Y 0.5000 0.5000 0.7824  4 Zn 3.13, 3 Pb 3.21-3.30
Zn 0.0000 0.0000 0.7322  2 Pb 2.87, 5 Y 3.04-3.13
Zn 0.0000 0.5000 0.2322  2 Pb 2.87, 5 Y 3.04-3.13
Pb 0.5000 0.0000 0.5651  2 Zn 2.87, 5 Y 3.16-3.21
Pb 0.5000 0.5000 0.0651  2 Zn 2.87, 5 Y 3.16-3.21

---

Density functional theory data (GGA-PBE) for an optimized crystal structure of Y2ZnPb.

E_form ... -0.295 eV per atom
Density ... 6703 kg/m³
Spin magnetization ... 0.00 Bohr magnetons per cell
Space-group type ... C2/m

abc: 9.1369 3.6520 6.8273
angles: 90.00 101.59 90.00
With the nearest neighbours (Å) after each atom.
Fractional positions:
Y 0.2462 0.0000 0.2295  3 Zn 3.05-3.07, 3 Pb 3.18-3.22
Y 0.2538 0.5000 0.7705  3 Zn 3.05-3.07, 3 Pb 3.18-3.22
Y 0.7462 0.5000 0.2295  3 Zn 3.05-3.07, 3 Pb 3.18-3.22
Y 0.7538 0.0000 0.7705  3 Zn 3.05-3.07, 3 Pb 3.18-3.22
Zn 0.0000 0.5000 0.0000  6 Y 3.05-3.07
Zn 0.5000 0.0000 0.0000  6 Y 3.05-3.07
Pb 0.0000 0.0000 0.5000  6 Y 3.18-3.22
Pb 0.5000 0.5000 0.5000  6 Y 3.18-3.22

---

Density functional theory data (GGA-PBE) for an optimized crystal structure of YZn2Pb.

E_form ... -0.166 eV per atom
Density ... 7596 kg/m³
Spin magnetization ... 0.00 Bohr magnetons per cell
Space-group type ... Pmmm

abc: 3.4257 4.6907 5.8081
angles: 90.00 90.00 90.00
With the nearest neighbours (Å) after each atom.
Fractional positions:
Y 0.0000 0.0000 0.0000  8 Zn 3.17, 4 Pb 3.37, 2 Y 3.43
Zn 0.5000 0.5000 0.2172  1 Zn 2.52
Zn 0.5000 0.5000 0.7828  1 Zn 2.52
Pb 0.5000 0.0000 0.5000  4 Zn 2.86

---

The lowest density belongs to which entry? Y5Zn4Pb

---

Which value of spin magnetization does entry 2 give? 0.00 Bohr magnetons per cell